DFT (PBE-GGA) results for Ag2SbTe2Se after structural relaxation.

Summary:
- M_tot (μB/f.u.) = 0.00
- DFT total energy (Ry per atom) = -0.2432
- E_form (uncorrected) (eV per atom) = -0.0433

Cell lengths 13.1681, 7.4915, 8.0261 Å; angles 90.00, 90.00, 90.00 degrees
Space group Cmc2_1 (No. 36)
Symmetry-distinct sites (fractional):
Ag 0.1608 0.1796 0.0000 x8
Sb 0.0000 0.3256 0.5042 x4
Te 0.1709 0.1560 0.6549 x8
Se 0.0000 0.3549 0.1287 x4